VASP calculation (GGA+U) on AcFeRh2O6 after structural relaxation.

Summary:
Its spin magnetization is 4.9 Bohr magnetons per cell. The value obtained for the final energy is -6.92 eV per atom.

Cell: 5.6882 5.6882 5.6882 Å, 58.02 58.02 58.02°
With the nearest neighbours (Å) after each atom.
Element x y z (fractional)
Ac  0.0000  0.0000  0.0000  3 O 2.39
Fe  0.4694  0.4694  0.4694  6 O 2.06-2.10
Rh  0.2630  0.2630  0.2630  6 O 2.09-2.12
Rh  0.7714  0.7714  0.7714  6 O 2.05-2.11
O  0.0692  0.5963  0.4412  2 Rh 2.05-2.12, 1 Fe 2.06
O  0.1615  0.5251  0.8763  2 Rh 2.09-2.11, 1 Fe 2.10
O  0.4412  0.0692  0.5963  2 Rh 2.05-2.12, 1 Fe 2.06
O  0.5251  0.8763  0.1615  2 Rh 2.09-2.11, 1 Fe 2.10
O  0.5963  0.4412  0.0692  2 Rh 2.05-2.12, 1 Fe 2.06
O  0.8763  0.1615  0.5251  2 Rh 2.09-2.11, 1 Fe 2.10